Record 1
Here is a geometry-optimized HoSiHO4 structure from OQMD. Energies are from PBE-GGA.

distance to the lowest polymorph of the same formula	66.5	meV per atom
calculated volume	141.2	Å³/cell
E_tot	-7.410	eV per atom

Lattice parameters (Å, degrees): 4.452 6.632 4.820 90.00 97.05 90.00
Space group P2_1/m (No. 11)
Symmetry-distinct sites (fractional):
Ho 0.071 0.250 0.196 x2
Si 0.431 0.750 0.311 x2
H 0.500 0.000 0.000 x2
O 0.204 0.250 0.685 x2
O 0.286 0.556 0.118 x4
O 0.364 0.750 0.630 x2



Record 2
Here is a geometry-optimized NaNdGaTe3 structure from OQMD. Energies are from PBE-GGA.

calculated volume	809.1	Å³/cell
E_tot	-3.941	eV per atom

Lattice parameters (Å, degrees): 4.714 14.308 11.996 90.00 90.00 90.00
Space group Cmcm (No. 63)
Symmetry-distinct sites (fractional):
Na 0.000 0.238 0.250 x4
Nd 0.000 0.000 0.000 x4
Ga 0.000 0.479 0.750 x4
Te 0.000 0.084 0.750 x4
Te 0.000 0.358 0.569 x8



Record 3
Here is a geometry-optimized SrZrAs structure from OQMD. Energies are from PBE-GGA.

calculated volume	332.1	Å³/cell
E_tot	-5.229	eV per atom

Lattice parameters (Å, degrees): 6.925 6.925 6.925 90.00 90.00 90.00
Space group F-43m (No. 216)
Symmetry-distinct sites (fractional):
Sr 0.000 0.000 0.000 x4
Zr 0.000 0.000 0.500 x4
As 0.250 0.250 0.250 x4



Question: What is the formula in the second record?
Answer: NaNdGaTe3